HfRh3I | SCAN | PBEsol geometry

Cell and atoms, written as POSCAR:
```
HfRh3I
1.0
4.704 0.000 0.000
0.000 4.704 0.000
0.000 0.000 4.704
Hf Rh I
1 3 1
direct
0.000 0.000 0.000
0.000 0.500 0.500
0.500 0.000 0.500
0.500 0.500 0.000
0.500 0.500 0.500
```

Results
N(E_F), states/eV/cell: 5.035
Total magnetic moment, Bohr magnetons per cell: 0.00
DFT total energy, eV per atom: -39.187
Energy relative to the elements, uncorrected, eV/atom: 0.96
Polymorph energy (0 for the lowest one), meV per atom: 80